No. 1
Here is a relaxed structure of Y5Ho4Er3 from Alexandria via LeMat-Bulk. Energies are from PBE-GGA.

Structure (extended XYZ):
```
12
Lattice="-4.8063 4.4464 2.7038 1.3188 -10.9605 1.8200 2.4580 12.1930 2.8467" Properties=species:S:1:pos:R:3 pbc="T T T"
Ho -1.6740 3.0722 5.8923
Ho 0.0542 -0.8680 1.5187
Ho -1.0837 6.5470 5.8517
Ho 0.6445 2.6068 1.4782
Y -0.4887 10.0476 5.7836
Y -2.3432 1.3511 2.8877
Y -1.1742 8.3197 2.7752
Y -0.5408 -4.3686 1.5868
Y 1.3137 4.3279 4.4827
Er 1.2290 6.0965 1.4234
Er -1.7661 4.8352 2.8326
Er 0.7366 0.8438 4.5378
```

Values from the calculation:
Energy relative to the lowest polymorph listed for this composition: 0.000 eV per atom



No. 2
Here is a relaxed structure of Y4Ho11Er9 from Alexandria via LeMat-Bulk. Energies are from PBE-GGA.

Structure (extended XYZ):
```
24
Lattice="-1.5315 2.6538 -1.9488 -12.7362 -7.9029 -0.7529 0.5783 9.0919 11.9263" Properties=species:S:1:pos:R:3 pbc="T T T"
Er -12.1892 1.1107 7.7084
Er -8.7135 -2.1700 0.5095
Er -6.8447 1.9214 4.6123
Er -1.5002 2.7320 1.5163
Er -4.9759 6.0128 8.7152
Er -2.4929 5.7699 6.4332
Er -3.4407 0.2552 -0.3317
Er -10.2487 3.5876 9.5563
Er -11.1965 -1.9272 2.7914
Ho -3.5167 0.3439 3.2319
Ho -5.1438 -2.8156 0.2082
Ho -1.5565 6.3670 9.8934
Ho -10.6015 -5.1781 1.2800
Ho -11.8440 -2.1603 6.3659
Ho -7.8546 -1.6720 3.8958
Ho 0.0000 0.0000 0.0000
Ho -4.3033 2.8609 7.2777
Ho -7.0141 4.0045 10.9652
Ho -0.3140 3.3493 4.8076
Ho -8.6413 0.8451 7.9416
Y -3.6133 3.4485 4.1524
Y -10.0761 0.3943 5.0722
Y -7.3937 3.8181 7.6267
Y -6.2958 0.0246 1.5980
```



No. 3
Here is a relaxed structure of Y12HoEr6 from Alexandria via LeMat-Bulk. Energies are from PBE-GGA.

Structure (extended XYZ):
```
19
Lattice="-3.6088 5.3321 5.5852 -0.9186 -6.1845 5.7929 7.5097 1.8191 3.5978" Properties=species:S:1:pos:R:3 pbc="T T T"
Y -0.4975 -0.6445 6.6251
Y 2.7838 -1.2475 12.1825
Y 3.4797 1.6113 8.3507
Y 3.9540 2.1011 11.7333
Y -0.9717 -1.1343 3.2426
Y -0.0309 1.5830 9.0517
Y 1.7867 -1.4970 8.8885
Y 3.0132 -0.6162 5.9242
Y 2.4764 -0.5278 2.5168
Y 0.5059 1.4946 12.4591
Y 1.1955 2.4638 6.0873
Y 0.1985 2.2142 2.7934
Er 0.9444 -3.3324 5.4666
Er 4.2083 2.0486 4.4693
Er 2.0378 4.2992 9.5092
Er -2.0395 2.2931 5.6977
Er -1.2260 -1.0818 10.5066
Er 5.0217 -1.3263 9.2782
Ho 0.0000 0.0000 0.0000
```

Values from the calculation:
Energy relative to the lowest polymorph listed for this composition: 0.000 eV per atom



No. 4
Here is a relaxed structure of Y5Ho5Er2 from Alexandria via LeMat-Bulk. Energies are from PBE-GGA.

Structure (extended XYZ):
```
12
Lattice="5.0056 0.0000 0.0000 -2.5028 7.4953 -0.4776 0.0000 -4.3579 10.3173" Properties=species:S:1:pos:R:3 pbc="T T T"
Er 0.0000 -2.0238 7.6702
Er 2.5028 5.1612 2.1695
Y 0.0000 2.6677 2.3340
Y 0.0000 0.3051 4.9945
Y 2.5028 2.8323 4.8452
Y 2.5028 0.4696 7.5056
Y 0.0000 0.0000 0.0000
Ho 2.5028 -2.1790 5.1586
Ho 0.0000 4.9910 -0.3178
Ho 2.5028 -1.8537 10.1575
Ho 0.0000 2.9932 7.3429
Ho 2.5028 0.1442 2.4968
```

Values from the calculation:
Energy relative to the lowest polymorph listed for this composition: 0.000 eV per atom



No. 5
Here is a relaxed structure of YHo7Er4 from Alexandria via LeMat-Bulk. Energies are from PBE-GGA.

Structure (extended XYZ):
```
12
Lattice="5.9810 -1.3275 2.8375 1.1677 5.8435 2.4650 2.6424 -1.8899 11.1352" Properties=species:S:1:pos:R:3 pbc="T T T"
Ho 7.9025 0.1594 14.1088
Ho 7.3601 2.0788 8.3422
Ho 2.9905 -0.6637 1.4187
Ho 5.5403 -0.5698 6.8266
Ho 4.2508 3.1960 9.6111
Ho 2.4310 0.5474 8.0954
Ho 1.8886 2.4668 2.3288
Y 0.0000 0.0000 0.0000
Er 4.6063 2.5105 6.2321
Er 5.1848 0.1157 10.2056
Er 2.8223 -0.0470 4.7312
Er 6.9688 2.6732 11.7064
```

Values from the calculation:
Energy relative to the lowest polymorph listed for this composition: 0.000 eV per atom



No. 6
Here is a relaxed structure of Y5Ho8Er from Alexandria via LeMat-Bulk. Energies are from PBE-GGA.

Structure (extended XYZ):
```
14
Lattice="-7.8364 3.0539 0.1397 -0.0669 -8.3759 -0.7716 3.6359 2.3094 7.2250" Properties=species:S:1:pos:R:3 pbc="T T T"
Ho -1.8803 0.8353 6.4319
Ho -1.1558 -0.1873 2.9184
Ho -4.8404 3.6394 4.8140
Ho -1.0265 -5.4877 0.0189
Ho -1.5121 -3.9897 5.4350
Ho -3.1736 -2.8437 1.5403
Ho 1.0513 -4.8837 2.8767
Ho -4.5322 0.8669 2.3374
Y 0.1883 -2.2856 0.7174
Y 1.2505 2.2847 6.9370
Y -2.1002 2.6816 3.6824
Y -3.8074 -1.5547 4.7393
Y -6.1660 -4.4697 0.7926
Er 0.7344 -1.6924 5.0679
```



No. 7
Here is a relaxed structure of Y2Ho3Er4 from Alexandria via LeMat-Bulk. Energies are from PBE-GGA.

Structure (extended XYZ):
```
9
Lattice="-1.3113 4.6998 -0.9923 -6.1057 -3.6150 3.4389 13.8210 4.2390 1.8128" Properties=species:S:1:pos:R:3 pbc="T T T"
Er 9.3210 3.3960 3.7668
Er 3.1078 1.1311 1.2502
Er 3.2963 4.1927 3.0092
Er -2.9170 1.9277 0.4926
Y 6.2059 2.2649 2.5262
Y 0.1981 3.0588 1.7332
Ho -1.4165 0.2847 3.2204
Ho 0.0000 0.0000 0.0000
Ho 7.8206 5.0390 1.0390
```

Values from the calculation:
Energy relative to the lowest polymorph listed for this composition: 0.000 eV per atom



No. 8
Here is a relaxed structure of Y8Ho3Er2 from Alexandria via LeMat-Bulk. Energies are from PBE-GGA.

Structure (extended XYZ):
```
13
Lattice="5.5824 0.0000 0.7341 0.0000 7.6198 0.0000 -1.3190 -3.8099 9.9759" Properties=species:S:1:pos:R:3 pbc="T T T"
Y -0.9657 3.8099 7.3142
Y 2.5096 2.1993 2.5154
Y 1.7538 1.6105 8.1946
Y 2.5096 5.4204 2.5154
Y 1.7538 -1.6105 8.1946
Y -0.4424 3.8099 3.3925
Y 5.2291 0.0000 3.3958
Y 4.7059 0.0000 7.3175
Er 2.1478 0.0000 5.1825
Er 2.1156 3.8099 5.5275
Ho 2.7912 0.0000 0.3671
Ho 0.0000 2.1618 0.0000
Ho 0.0000 5.4580 0.0000
```



Result set for V: 31.34; 31.36; 32.53; 31.39; 31.30; 32.67; 31.02; 33.21 Å³/atom, one per record in the order listed.
Result set for electronic total energy: -0.392; -0.355; -0.412; -0.392; -0.341; -0.366; -0.365; -0.404 Ry/atom, one per record in the order listed.
Result set for E_form: 0.02; 0.06; 0.15; 0.02; 0.09; 0.26; 0.02; 0.24 eV/atom, one per record in the order listed.